A relaxed Li2AsPb crystal. Source: the Alexandria database, functional PBE-GGA.

Cell lengths 5.1199, 5.1199, 5.1199 Å; angles 128.79, 128.79, 75.35 degrees
Fractional positions:
1 Li 0.2500 0.7500 0.5000
2 Li 0.7500 0.2500 0.5000
3 As 0.0000 0.0000 0.0000
4 Pb 0.5000 0.5000 0.0000

Summary:
Formation energy (meV/atom): -349.7
Magnetization (μB/f.u.): 0.00
Distance to the lowest polymorph of the same formula (kJ per mole of atoms): 2.3
Space-group type: I4/mmm, No. 139

A relaxed Li2AsPb crystal. Source: the Alexandria database, functional PBE-GGA.

Cell lengths 3.8999, 3.8999, 5.5157 Å; angles 90.00, 90.00, 90.00 degrees
Fractional positions:
1 Li 0.0000 0.0000 0.0000
2 Li 0.5000 0.5000 0.2570
3 As 0.5000 0.5000 0.7620
4 Pb 0.0000 0.0000 0.5202

Summary:
Formation energy (meV/atom): -231.2
Magnetization (μB/f.u.): 0.00
Distance to the lowest polymorph of the same formula (kJ per mole of atoms): 13.8
Space-group type: P4mm, No. 99

A relaxed LiAs2Pb crystal. Source: the Alexandria database, functional PBE-GGA.

Cell lengths 4.8568, 4.8568, 3.9783 Å; angles 90.09, 90.09, 108.42 degrees
Fractional positions:
1 Li 0.0000 0.0000 0.0000
2 As 0.0000 0.5000 0.5000
3 As 0.5000 0.0000 0.5000
4 Pb 0.5000 0.5000 0.0000

Summary:
Formation energy (meV/atom): -74.6
Magnetization (μB/f.u.): 0.00
Space-group type: C2/m, No. 12

What did the second record say?
A relaxed Li2AsPb crystal. Source: the Alexandria database, functional PBE-GGA.

Cell lengths 3.8999, 3.8999, 5.5157 Å; angles 90.00, 90.00, 90.00 degrees
Fractional positions:
1 Li 0.0000 0.0000 0.0000
2 Li 0.5000 0.5000 0.2570
3 As 0.5000 0.5000 0.7620
4 Pb 0.0000 0.0000 0.5202

Summary:
Formation energy (meV/atom): -231.2
Magnetization (μB/f.u.): 0.00
Distance to the lowest polymorph of the same formula (kJ per mole of atoms): 13.8
Space-group type: P4mm, No. 99

- Look up the magnetization of the second one.
  0.00 μB/f.u.